1.
Density functional theory data (PBE-GGA) for Pr3ScGa2 after structural relaxation.

Structure (POSCAR):
```
Pr3ScGa2
1.0
-2.259 2.321 8.052
2.259 -2.321 8.052
2.259 2.321 -8.052
Pr Sc Ga
3 1 2
Direct
0.500 0.500 0.000
0.321 0.821 0.500
0.679 0.179 0.500
0.000 0.000 0.000
0.871 0.371 0.500
0.129 0.629 0.500
```

Properties
Electronic total energy, eV per atom: -4.8135
ΔE to the lowest computed polymorph, meV/atom: 8.7

***

2.
Density functional theory data (PBE-GGA) for PrSmScGa after structural relaxation.

Structure (POSCAR):
```
PrSmScGa
1.0
5.330 0.000 0.000
2.665 4.616 0.000
2.665 1.539 4.352
Pr Sc Ga Sm
1 1 1 1
Direct
0.500 0.500 0.500
0.750 0.750 0.750
0.250 0.250 0.250
0.000 0.000 0.000
```

Properties
Electronic total energy, eV per atom: -4.8551

***

3.
Density functional theory data (PBE-GGA) for TbPrScGa after structural relaxation.

Structure (POSCAR):
```
TbPrScGa
1.0
-2.508 -3.885 -2.581
2.779 -3.601 -2.712
0.311 -4.983 1.765
Pr Sc Tb Ga
1 1 1 1
Direct
0.000 0.000 0.000
0.750 0.750 0.750
0.500 0.500 0.500
0.250 0.250 0.250
```

Properties
Electronic total energy, eV per atom: -4.8346

***

4.
Density functional theory data (PBE-GGA) for PrScTlGa after structural relaxation.

Structure (POSCAR):
```
PrScTlGa
1.0
5.203 0.000 0.000
2.601 4.506 0.000
2.601 1.502 4.248
Pr Sc Tl Ga
1 1 1 1
Direct
0.000 0.000 0.000
0.500 0.500 0.500
0.750 0.750 0.750
0.250 0.250 0.250
```

Properties
Electronic total energy, eV per atom: -4.5112